VASP calculation (GGA-PBEsol) on a relaxed structure of Ca4MnW.

Properties
* DFT total energy: -3.90 eV/atom
* spin magnetization: 8.79 μB per cell
* density: 3.98 g/cm³
* formation energy from the elements: 1.446 eV/atom
* SG: F-43m, No. 216

The structure in extended XYZ format:
```
6
Lattice="0.0000 4.3683 4.3683 4.3683 0.0000 4.3683 4.3683 4.3683 0.0000" Properties=species:S:1:pos:R:3 pbc="T T T"
Ca 1.0877 1.0877 1.0877
Ca 3.2805 3.2805 1.0877
Ca 3.2805 1.0877 3.2805
Ca 1.0877 3.2805 3.2805
Mn 4.3683 4.3683 4.3683
W 6.5524 6.5524 6.5524
```